## SrZn2Mo2 (PBE-GGA)

Data for a geometry-optimized SrZn2Mo2 structure.

ΔH_f (0 K): 0.471 eV/atom
Polymorph energy (0 for the lowest one): 150.4 meV per atom

Unit cell a=4.9940 b=4.9940 c=5.5725 alpha=63.38 beta=63.38 gamma=90.00
Fractional positions:
Sr 0.0000 0.0000 0.0000
Mo 0.3739 0.3739 0.2523
Mo 0.6261 0.6261 0.7477
Zn 0.7500 0.2500 0.5000
Zn 0.2500 0.7500 0.5000

---

## SrZnMo (PBE-GGA)

Data for a geometry-optimized SrZnMo structure.

ΔH_f (0 K): 0.649 eV/atom
Polymorph energy (0 for the lowest one): 52.0 meV per atom

Unit cell a=7.3683 b=7.3682 c=2.9634 alpha=78.40 beta=78.40 gamma=23.20
Fractional positions:
Mo 0.0196 0.0196 0.9804
Sr 0.3311 0.3311 0.6689
Zn 0.6494 0.6494 0.3506

---

## SrZnMo (PBE-GGA)

Data for a geometry-optimized SrZnMo structure.

ΔH_f (0 K): 1.018 eV/atom
Polymorph energy (0 for the lowest one): 421.0 meV per atom

Unit cell a=4.8649 b=4.8649 c=4.8649 alpha=60.00 beta=60.00 gamma=60.00
Last column: magnetic moment on the atom in μB.
Fractional positions:
Mo 0.0000 0.0000 0.0000  2.68
Sr 0.5000 0.5000 0.5000  0.03
Zn 0.7500 0.7500 0.7500  -0.04

---

## Sr4ZnMo (PBE-GGA)

Data for a geometry-optimized Sr4ZnMo structure.

ΔH_f (0 K): 1.114 eV/atom

Unit cell a=7.0706 b=7.0706 c=7.0706 alpha=60.00 beta=60.00 gamma=60.00
Last column: magnetic moment on the atom in μB.
Fractional positions:
Sr 0.8761 0.3746 0.3746  -0.03
Sr 0.3746 0.3746 0.8761  -0.03
Sr 0.3746 0.8761 0.3746  -0.03
Sr 0.3746 0.3746 0.3746  -0.03
Zn 0.7500 0.7500 0.7500  0.00
Mo 0.0000 0.0000 0.0000  3.53

---

## SrZnMo (PBE-GGA)

Data for a geometry-optimized SrZnMo structure.

ΔH_f (0 K): 0.865 eV/atom
Polymorph energy (0 for the lowest one): 267.9 meV per atom

Unit cell a=3.1203 b=3.1203 c=7.5898 alpha=90.00 beta=90.00 gamma=120.00
Fractional positions:
Mo 0.0000 0.0000 0.9739
Sr 0.3333 0.6667 0.3271
Zn 0.6667 0.3333 0.6990

---

## SrZn2Mo2 (PBE-GGA)

Data for a geometry-optimized SrZn2Mo2 structure.

ΔH_f (0 K): 0.321 eV/atom
Polymorph energy (0 for the lowest one): 0.0 meV per atom

Unit cell a=8.1942 b=8.1942 c=2.7996 alpha=90.00 beta=90.00 gamma=90.00
Fractional positions:
Sr 0.0000 0.0000 0.0000
Sr 0.5000 0.5000 0.0000
Mo 0.3940 0.8940 0.0000
Mo 0.8940 0.6060 0.0000
Mo 0.6060 0.1060 0.0000
Mo 0.1060 0.3940 0.0000
Zn 0.1823 0.6823 0.5000
Zn 0.6823 0.8177 0.5000
Zn 0.8177 0.3177 0.5000
Zn 0.3177 0.1823 0.5000

---

## SrZnMo (PBE-GGA)

Data for a geometry-optimized SrZnMo structure.

ΔH_f (0 K): 0.597 eV/atom
Polymorph energy (0 for the lowest one): 0.0 meV per atom

Unit cell a=6.2131 b=6.2131 c=6.2131 alpha=151.27 beta=144.05 gamma=46.66
Fractional positions:
Mo 0.0406 0.0406 0.0000
Sr 0.3333 0.3333 0.0000
Zn 0.6260 0.6260 0.0000